Entry 1:
A plane-wave DFT calculation with GGA-PBE was carried out for a geometry-optimized CuSi2Pd8 structure.

abc: 7.505 7.505 6.064
angles: 109.90 109.90 30.82
Fractional coordinates of all 11 atoms:
Cu 0.000 0.000 0.000
Si 0.316 0.316 0.311
Si 0.684 0.684 0.689
Pd 0.096 0.096 0.472
Pd 0.175 0.175 0.960
Pd 0.308 0.308 0.699
Pd 0.467 0.467 0.238
Pd 0.533 0.533 0.762
Pd 0.692 0.692 0.301
Pd 0.825 0.825 0.040
Pd 0.904 0.904 0.528

Results
Distance to the lowest polymorph of the same formula, meV per atom: 0
Uncorrected energy, eV per cell: -61.096
D(E_F), states/eV per cell: 4.298
Total moment, μB/cell: 0.00
Formation energy without anion corrections, meV/atom: -419
Volume, Å³/f.u.: 163.7


Entry 2:
A plane-wave DFT calculation with GGA-PBE was carried out for a geometry-optimized CuSiPd2 structure.

abc: 6.770 6.770 5.304
angles: 90.00 90.00 90.00
Fractional coordinates of all 16 atoms:
Cu 0.000 0.000 0.000
Cu 0.000 0.500 0.250
Cu 0.500 0.000 0.750
Cu 0.500 0.500 0.500
Si 0.000 0.000 0.500
Si 0.000 0.500 0.750
Si 0.500 0.000 0.250
Si 0.500 0.500 0.000
Pd 0.213 0.250 0.625
Pd 0.250 0.713 0.875
Pd 0.250 0.787 0.375
Pd 0.287 0.250 0.125
Pd 0.713 0.750 0.125
Pd 0.750 0.213 0.375
Pd 0.750 0.287 0.875
Pd 0.787 0.750 0.625

Results
Uncorrected energy, eV per cell: -82.720
D(E_F), states/eV per cell: 3.945
Total moment, μB/cell: 0.00
Formation energy without anion corrections, meV/atom: -194
Volume, Å³/f.u.: 60.8


Entry 3:
A plane-wave DFT calculation with GGA-PBE was carried out for a geometry-optimized Cu14SiPd structure.

abc: 8.438 5.195 5.195
angles: 58.95 90.00 90.00
Fractional coordinates of all 16 atoms:
Cu 0.000 0.000 0.000
Cu 0.000 0.000 0.496
Cu 0.000 0.496 0.000
Cu 0.000 0.496 0.496
Cu 0.241 0.837 0.837
Cu 0.246 0.331 0.835
Cu 0.246 0.835 0.331
Cu 0.253 0.333 0.333
Cu 0.500 0.173 0.674
Cu 0.500 0.674 0.173
Cu 0.747 0.333 0.333
Cu 0.754 0.331 0.835
Cu 0.754 0.835 0.331
Cu 0.759 0.837 0.837
Si 0.500 0.171 0.171
Pd 0.500 0.674 0.674

Results
Uncorrected energy, eV per cell: -68.815
D(E_F), states/eV per cell: 3.376
Total moment, μB/cell: 0.00
Formation energy without anion corrections, meV/atom: -53
Volume, Å³/f.u.: 195.1


Entry 4:
A plane-wave DFT calculation with GGA-PBE was carried out for a geometry-optimized CuSiPd4 structure.

abc: 5.261 7.498 4.816
angles: 90.00 112.60 90.00
Fractional coordinates of all 12 atoms:
Cu 0.000 0.000 0.000
Cu 0.000 0.500 0.500
Si 0.500 0.000 0.500
Si 0.500 0.500 0.000
Pd 0.134 0.157 0.570
Pd 0.134 0.343 0.070
Pd 0.387 0.665 0.384
Pd 0.387 0.835 0.884
Pd 0.613 0.165 0.116
Pd 0.613 0.335 0.616
Pd 0.866 0.657 0.930
Pd 0.866 0.843 0.430

Results
Distance to the lowest polymorph of the same formula, meV per atom: 84
Uncorrected energy, eV per cell: -64.239
D(E_F), states/eV per cell: 5.805
Total moment, μB/cell: 0.00
Formation energy without anion corrections, meV/atom: -305
Volume, Å³/f.u.: 87.7


Entry 5:
A plane-wave DFT calculation with GGA-PBE was carried out for a geometry-optimized Cu6SiPd structure.

abc: 6.810 6.810 6.810
angles: 41.96 41.96 41.96
Fractional coordinates of all 8 atoms:
Cu 0.068 0.068 0.564
Cu 0.068 0.564 0.068
Cu 0.436 0.932 0.932
Cu 0.564 0.068 0.068
Cu 0.932 0.436 0.932
Cu 0.932 0.932 0.436
Si 0.000 0.000 0.000
Pd 0.500 0.500 0.500

Results
Distance to the lowest polymorph of the same formula, meV per atom: 284
Uncorrected energy, eV per cell: -32.835
D(E_F), states/eV per cell: 2.834
Total moment, μB/cell: 0.00
Formation energy without anion corrections, meV/atom: 295
Volume, Å³/f.u.: 127.7


Entry 6:
A plane-wave DFT calculation with GGA-PBE was carried out for a geometry-optimized CuSi2Pd6 structure.

abc: 5.704 6.215 8.928
angles: 90.00 121.00 90.00
Fractional coordinates of all 18 atoms:
Cu 0.000 0.000 0.000
Cu 0.000 0.500 0.500
Si 0.183 0.128 0.747
Si 0.183 0.372 0.247
Si 0.817 0.628 0.753
Si 0.817 0.872 0.253
Pd 0.136 0.137 0.441
Pd 0.136 0.363 0.941
Pd 0.300 0.703 0.417
Pd 0.300 0.797 0.917
Pd 0.450 0.058 0.269
Pd 0.450 0.442 0.769
Pd 0.550 0.558 0.231
Pd 0.550 0.942 0.731
Pd 0.700 0.203 0.083
Pd 0.700 0.297 0.583
Pd 0.864 0.637 0.059
Pd 0.864 0.863 0.559

Results
Uncorrected energy, eV per cell: -99.191
D(E_F), states/eV per cell: 6.904
Total moment, μB/cell: 0.00
Formation energy without anion corrections, meV/atom: -388
Volume, Å³/f.u.: 135.7


Entry 7:
A plane-wave DFT calculation with GGA-PBE was carried out for a geometry-optimized CuSi2Pd structure.

abc: 6.097 6.097 6.097
angles: 90.00 90.00 90.00
Fractional coordinates of all 16 atoms:
Cu 0.000 0.000 0.000
Cu 0.000 0.500 0.500
Cu 0.500 0.000 0.500
Cu 0.500 0.500 0.000
Si 0.250 0.250 0.250
Si 0.250 0.250 0.750
Si 0.250 0.750 0.250
Si 0.250 0.750 0.750
Si 0.750 0.250 0.250
Si 0.750 0.250 0.750
Si 0.750 0.750 0.250
Si 0.750 0.750 0.750
Pd 0.000 0.000 0.500
Pd 0.000 0.500 0.000
Pd 0.500 0.000 0.000
Pd 0.500 0.500 0.500

Results
Distance to the lowest polymorph of the same formula, meV per atom: 0
Uncorrected energy, eV per cell: -80.187
D(E_F), states/eV per cell: 9.840
Total moment, μB/cell: 0.00
Formation energy without anion corrections, meV/atom: 22
Volume, Å³/f.u.: 56.7


Entry 8:
A plane-wave DFT calculation with GGA-PBE was carried out for a geometry-optimized Cu8Si2Pd structure.

abc: 6.461 6.461 4.316
angles: 102.35 102.35 118.08
Fractional coordinates of all 11 atoms:
Cu 0.090 0.320 0.626
Cu 0.228 0.772 0.000
Cu 0.320 0.090 0.626
Cu 0.414 0.414 0.196
Cu 0.586 0.586 0.804
Cu 0.680 0.910 0.374
Cu 0.772 0.228 0.000
Cu 0.910 0.680 0.374
Si 0.309 0.691 0.500
Si 0.691 0.309 0.500
Pd 0.000 0.000 0.000

Results
Uncorrected energy, eV per cell: -48.327
D(E_F), states/eV per cell: 4.744
Total moment, μB/cell: 0.00
Formation energy without anion corrections, meV/atom: 44
Volume, Å³/f.u.: 144.6


Entry 9:
A plane-wave DFT calculation with GGA-PBE was carried out for a geometry-optimized CuSiPd4 structure.

abc: 7.025 2.919 16.886
angles: 90.00 90.00 90.00
Fractional coordinates of all 24 atoms:
Cu 0.206 0.250 0.186
Cu 0.294 0.750 0.686
Cu 0.706 0.250 0.314
Cu 0.794 0.750 0.814
Si 0.250 0.250 0.954
Si 0.250 0.750 0.454
Si 0.750 0.250 0.546
Si 0.750 0.750 0.046
Pd 0.010 0.750 0.285
Pd 0.030 0.750 0.572
Pd 0.108 0.750 0.058
Pd 0.169 0.750 0.843
Pd 0.331 0.250 0.343
Pd 0.392 0.250 0.558
Pd 0.470 0.250 0.072
Pd 0.490 0.250 0.785
Pd 0.510 0.750 0.215
Pd 0.530 0.750 0.928
Pd 0.608 0.750 0.442
Pd 0.669 0.750 0.657
Pd 0.831 0.250 0.157
Pd 0.892 0.250 0.942
Pd 0.970 0.250 0.428
Pd 0.990 0.250 0.715

Results
Distance to the lowest polymorph of the same formula, meV per atom: 0
Uncorrected energy, eV per cell: -130.494
D(E_F), states/eV per cell: 13.650
Total moment, μB/cell: 0.00
Formation energy without anion corrections, meV/atom: -389
Volume, Å³/f.u.: 86.6


Entry 10:
A plane-wave DFT calculation with GGA-PBE was carried out for a geometry-optimized CuSi2Pd4 structure.

abc: 4.625 4.625 11.870
angles: 90.00 90.00 90.00
Fractional coordinates of all 14 atoms:
Cu 0.000 0.000 0.000
Cu 0.500 0.500 0.500
Si 0.000 0.000 0.400
Si 0.000 0.000 0.600
Si 0.500 0.500 0.100
Si 0.500 0.500 0.900
Pd 0.000 0.000 0.212
Pd 0.000 0.000 0.788
Pd 0.000 0.500 0.000
Pd 0.000 0.500 0.500
Pd 0.500 0.000 0.000
Pd 0.500 0.000 0.500
Pd 0.500 0.500 0.288
Pd 0.500 0.500 0.712

Results
Uncorrected energy, eV per cell: -68.641
D(E_F), states/eV per cell: 9.354
Total moment, μB/cell: 0.00
Formation energy without anion corrections, meV/atom: 199
Volume, Å³/f.u.: 126.9